First-principles (GGA+U) data for Ir3WO after structural relaxation, as listed in the Alexandria database.

a b c (Å): 4.803 4.803 4.803
angles (deg): 90.00 90.00 90.00
Fractional coordinates of all 5 atoms:
Ir1 0.000 0.000 0.500
Ir2 0.000 0.500 0.000
Ir3 0.500 0.000 0.000
W1 0.000 0.000 0.000
O1 0.500 0.500 0.500

## Properties
The final energy comes out at -5.2574 eV per atom.